Material: Co4NiPt4
Method: DFT, PBE
State: relaxed

Summary:
energy of formation = -0.07 eV per atom
total DFT energy (no corrections) = -6.56 eV/atom

Cell and atoms, written as CIF:
```
data_Co4NiPt4
_space_group_name_H-M_alt 'I 4/m m m'
_space_group_IT_number 139
_space_group_name_Hall '-I 4 2'
_cell_length_a 8.0539
_cell_length_b 8.0539
_cell_length_c 3.6873
_cell_angle_alpha 90.00
_cell_angle_beta 90.00
_cell_angle_gamma 90.00
loop_
_atom_site_label
_atom_site_type_symbol
_atom_site_fract_x
_atom_site_fract_y
_atom_site_fract_z
Co1 Co 0.0000 0.3479 0.0000
Ni1 Ni 0.0000 0.0000 0.0000
Pt1 Pt 0.1665 0.1665 0.5000
```


Material: Nd4YEr2Mg
Method: DFT, PBE
State: relaxed

Summary:
energy of formation = 0.04 eV per atom
total DFT energy (no corrections) = -4.49 eV/atom

Cell and atoms, written as CIF:
```
data_Nd4YEr2Mg
_space_group_name_H-M_alt 'P 4/m m m'
_space_group_IT_number 123
_space_group_name_Hall '-P 4 2'
_cell_length_a 5.7583
_cell_length_b 5.7583
_cell_length_c 7.7976
_cell_angle_alpha 90.00
_cell_angle_beta 90.00
_cell_angle_gamma 90.00
loop_
_atom_site_label
_atom_site_type_symbol
_atom_site_fract_x
_atom_site_fract_y
_atom_site_fract_z
Nd1 Nd 0.0000 0.5000 0.2385
Y1 Y 0.0000 0.0000 0.5000
Er1 Er 0.0000 0.0000 0.0000
Er2 Er 0.5000 0.5000 0.5000
Mg1 Mg 0.5000 0.5000 0.0000
```


Material: RbAl2Mo
Method: DFT, PBE
State: relaxed

Summary:
energy of formation = 1.10 eV per atom
total DFT energy (no corrections) = -3.72 eV/atom

Cell and atoms, written as CIF:
```
data_RbAl2Mo
_space_group_name_H-M_alt 'F m -3 m'
_space_group_IT_number 225
_space_group_name_Hall '-F 4 2 3'
_cell_length_a 7.1390
_cell_length_b 7.1390
_cell_length_c 7.1390
_cell_angle_alpha 90.00
_cell_angle_beta 90.00
_cell_angle_gamma 90.00
loop_
_atom_site_label
_atom_site_type_symbol
_atom_site_fract_x
_atom_site_fract_y
_atom_site_fract_z
Rb1 Rb 0.0000 0.0000 0.0000
Al1 Al 0.2500 0.2500 0.2500
Mo1 Mo 0.0000 0.0000 0.5000
```


Material: Sc2PdRuC
Method: DFT, PBE
State: relaxed

Summary:
energy of formation = -0.56 eV per atom
total DFT energy (no corrections) = -7.83 eV/atom

Cell and atoms, written as CIF:
```
data_Sc2PdRuC
_space_group_name_H-M_alt 'P 4/m m m'
_space_group_IT_number 123
_space_group_name_Hall '-P 4 2'
_cell_length_a 4.5597
_cell_length_b 4.5597
_cell_length_c 3.8445
_cell_angle_alpha 90.00
_cell_angle_beta 90.00
_cell_angle_gamma 90.00
loop_
_atom_site_label
_atom_site_type_symbol
_atom_site_fract_x
_atom_site_fract_y
_atom_site_fract_z
Sc1 Sc 0.0000 0.5000 0.0000
Pd1 Pd 0.0000 0.0000 0.5000
Ru1 Ru 0.5000 0.5000 0.5000
C1 C 0.5000 0.5000 0.0000
```


Material: CsAcPtO4
Method: DFT, PBE
State: relaxed

Summary:
uncorrected formation energy = -1.5581 eV per atom
total DFT energy (no corrections) = -5.96 eV/atom

Cell and atoms, written as CIF:
```
data_CsAcPtO4
_space_group_name_H-M_alt 'P 1 21/m 1'
_space_group_IT_number 11
_cell_length_a 6.4785
_cell_length_b 5.6762
_cell_length_c 8.3738
_cell_angle_alpha 90.00
_cell_angle_beta 93.41
_cell_angle_gamma 90.00
loop_
_space_group_symop_operation_xyz
'x,y,z'
'-x,-y,-z'
'-x,y+1/2,-z'
'x,-y+1/2,z'
loop_
_atom_site_label
_atom_site_type_symbol
_atom_site_fract_x
_atom_site_fract_y
_atom_site_fract_z
Cs1 Cs 0.2492 0.2500 0.1218
Ac1 Ac 0.2252 0.7500 0.4805
Pt1 Pt 0.2801 0.2500 0.6959
O1 O 0.0458 0.0249 0.6854
O2 O 0.3863 0.2500 0.4750
O3 O 0.4368 0.7500 0.2285
```


Material: TlIn2Co
Method: DFT, PBE
State: relaxed

Summary:
energy of formation = 0.52 eV per atom
total DFT energy (no corrections) = -3.22 eV/atom

Cell and atoms, written as CIF:
```
data_TlIn2Co
_space_group_name_H-M_alt 'F -4 3 m'
_space_group_IT_number 216
_space_group_name_Hall 'F -4 2 3'
_cell_length_a 7.0733
_cell_length_b 7.0733
_cell_length_c 7.0733
_cell_angle_alpha 90.00
_cell_angle_beta 90.00
_cell_angle_gamma 90.00
loop_
_atom_site_label
_atom_site_type_symbol
_atom_site_fract_x
_atom_site_fract_y
_atom_site_fract_z
Tl1 Tl 0.0000 0.0000 0.0000
In1 In 0.0000 0.0000 0.5000
In2 In 0.2500 0.2500 0.2500
Co1 Co 0.2500 0.2500 0.7500
```


Material: Sb3RhBr
Method: DFT, PBE
State: relaxed

Summary:
uncorrected formation energy = 0.2629 eV per atom
total DFT energy (no corrections) = -4.02 eV/atom

Cell and atoms, written as CIF:
```
data_Sb3RhBr
_space_group_name_H-M_alt 'P m -3 m'
_space_group_IT_number 221
_space_group_name_Hall '-P 4 2 3'
_cell_length_a 5.2155
_cell_length_b 5.2155
_cell_length_c 5.2155
_cell_angle_alpha 90.00
_cell_angle_beta 90.00
_cell_angle_gamma 90.00
loop_
_atom_site_label
_atom_site_type_symbol
_atom_site_fract_x
_atom_site_fract_y
_atom_site_fract_z
Sb1 Sb 0.0000 0.0000 0.5000
Rh1 Rh 0.0000 0.0000 0.0000
Br1 Br 0.5000 0.5000 0.5000
```


Material: In5Ru
Method: DFT, PBE
State: relaxed

Summary:
energy of formation = 0.24 eV per atom
total DFT energy (no corrections) = -3.58 eV/atom

Cell and atoms, written as CIF:
```
data_In5Ru
_space_group_name_H-M_alt 'C m m m'
_space_group_IT_number 65
_space_group_name_Hall '-C 2 2'
_cell_length_a 4.3591
_cell_length_b 14.0290
_cell_length_c 4.3891
_cell_angle_alpha 90.00
_cell_angle_beta 90.00
_cell_angle_gamma 90.00
loop_
_atom_site_label
_atom_site_type_symbol
_atom_site_fract_x
_atom_site_fract_y
_atom_site_fract_z
In1 In 0.0000 0.0000 0.0000
In2 In 0.0000 0.1519 0.5000
In3 In 0.0000 0.3457 0.0000
Ru1 Ru 0.0000 0.5000 0.5000
```